MgOs2, relaxed, DFT PBE-GGA; ρ = 14.748 g/cm³; E_tot = -47.3 eV per cell; energy of formation from the pure elements = 0.135 eV per atom; Fermi-level density of states = 3.2 states/eV per cell; space-group type = C2/m, No. 12
1.0
1.409 4.952 -0.008
-1.409 4.952 -0.008
0.000 1.736 6.530
Os Mg
4 2
Direct
0.146 0.146 0.462
0.784 0.784 0.145
0.216 0.216 0.855
0.854 0.854 0.538
0.509 0.509 0.202
0.491 0.491 0.798